The following is a PBE calculation of a geometry-optimized Sr2GaSn2 structure, from Alexandria via LeMat-Bulk. Values from VASP.

**Energy above the lowest structure with this stoichiometry**: 309.2 meV/atom
**E**: -3.1270 eV per atom
**Formation energy**: -248 meV/atom

Quantum ESPRESSO input file:
```
&SYSTEM
  ibrav = 0, nat = 10, ntyp = 3
/
ATOMIC_SPECIES
Sn 118.71 Sn.upf
Sr 87.62 Sr.upf
Ga 69.72 Ga.upf
ATOMIC_POSITIONS crystal
Sn 0.116 0.616 0.500
Sr 0.319 0.819 0.000
Sr 0.181 0.319 0.000
Ga 0.500 0.500 0.000
Sn 0.384 0.116 0.500
Sn 0.616 0.884 0.500
Sn 0.884 0.384 0.500
Sr 0.819 0.681 0.000
Ga 0.000 0.000 0.000
Sr 0.681 0.181 0.000
CELL_PARAMETERS angstrom
8.946 0.000 0.000
0.000 8.946 0.000
0.000 0.000 4.326
```